[1]
# Ba7Au3S | Alexandria via LeMat-Bulk | GGA-PBE | optimized geometry
data_Ba7Au3S
_chemical_formula_sum 'Ba7 Au3 S1'
_space_group_name_H-M_alt 'P 1'
_space_group_IT_number 1
_cell_length_a 7.883
_cell_length_b 7.883
_cell_length_c 9.140
_cell_angle_alpha 67.37
_cell_angle_beta 67.37
_cell_angle_gamma 91.48
loop_
_space_group_symop_operation_xyz
'x,y,z'
loop_
_atom_site_label
_atom_site_fract_x
_atom_site_fract_y
_atom_site_fract_z
_atom_site_occupancy
Ba1 0.124 0.124 0.199 1
Ba2 0.612 0.182 0.210 1
Ba3 0.965 0.355 0.728 1
Ba4 0.182 0.612 0.210 1
Ba5 0.607 0.607 0.461 1
Ba6 0.355 0.965 0.728 1
Ba7 0.822 0.822 0.800 1
Au1 0.798 0.232 0.484 1
Au2 0.487 0.487 0.905 1
Au3 0.232 0.798 0.484 1
S1 0.941 0.941 0.042 1
# - Raw formation energy: -0.667 eV/atom
# - Density: 5.55 g/cm³
# - Space group: Cm, No. 8
# - Magnetic moment: 0.00 μB/atom


[2]
# LiSm2Mg6 | Alexandria via LeMat-Bulk | GGA-PBE | optimized geometry
data_LiSm2Mg6
_chemical_formula_sum 'Li1 Sm2 Mg6'
_space_group_name_H-M_alt 'P 1'
_space_group_IT_number 1
_cell_length_a 3.241
_cell_length_b 9.096
_cell_length_c 9.096
_cell_angle_alpha 59.99
_cell_angle_beta 89.95
_cell_angle_gamma 89.95
loop_
_space_group_symop_operation_xyz
'x,y,z'
loop_
_atom_site_label
_atom_site_fract_x
_atom_site_fract_y
_atom_site_fract_z
_atom_site_occupancy
Li1 0.000 0.000 0.000 1
Sm1 0.000 0.333 0.333 1
Sm2 0.000 0.667 0.667 1
Mg1 0.498 0.672 0.000 1
Mg2 0.502 0.000 0.328 1
Mg3 0.502 0.328 0.000 1
Mg4 0.500 0.672 0.328 1
Mg5 0.498 0.000 0.672 1
Mg6 0.500 0.328 0.672 1
# - Density: 3.24 g/cm³
# - Space group: C2/m, No. 12
# - Formation enthalpy at 0 K: -0.045 eV/atom
# - Magnetic moment: 0.00 μB/atom


[3]
# RbTiTe3 | Alexandria via LeMat-Bulk | GGA-PBE | optimized geometry
data_RbTiTe3
_chemical_formula_sum 'Rb2 Ti2 Te6'
_space_group_name_H-M_alt 'P 1'
_space_group_IT_number 1
_cell_length_a 6.386
_cell_length_b 7.255
_cell_length_c 8.297
_cell_angle_alpha 115.85
_cell_angle_beta 90.46
_cell_angle_gamma 89.99
loop_
_space_group_symop_operation_xyz
'x,y,z'
loop_
_atom_site_label
_atom_site_fract_x
_atom_site_fract_y
_atom_site_fract_z
_atom_site_occupancy
Rb1 0.894 0.726 0.396 1
Rb2 0.390 0.372 0.688 1
Ti1 0.642 0.049 0.042 1
Ti2 0.142 0.049 0.042 1
Te1 0.895 0.199 0.343 1
Te2 0.394 0.394 0.209 1
Te3 0.890 0.704 0.874 1
Te4 0.394 0.871 0.210 1
Te5 0.890 0.227 0.874 1
Te6 0.389 0.898 0.741 1
# - Raw formation energy: -0.740 eV/atom
# - Density: 4.96 g/cm³
# - Space group: P-1, No. 2
# - Magnetic moment: 0.00 μB/atom
# - Relative energy among the computed polymorphs: 0 kJ/mol of formula units


[4]
# Hf2GaP | Alexandria via LeMat-Bulk | GGA-PBE | optimized geometry
data_Hf2GaP
_chemical_formula_sum 'Hf2 Ga1 P1'
_space_group_name_H-M_alt 'P 1'
_space_group_IT_number 1
_cell_length_a 4.647
_cell_length_b 4.647
_cell_length_c 4.647
_cell_angle_alpha 60.00
_cell_angle_beta 60.00
_cell_angle_gamma 60.00
loop_
_space_group_symop_operation_xyz
'x,y,z'
loop_
_atom_site_label
_atom_site_fract_x
_atom_site_fract_y
_atom_site_fract_z
_atom_site_occupancy
P1 0.000 0.000 0.000 1
Hf1 0.250 0.250 0.250 1
Hf2 0.750 0.750 0.750 1
Ga1 0.500 0.500 0.500 1
# - Density: 10.71 g/cm³
# - Space group: Fm-3m, No. 225
# - Formation enthalpy at 0 K: -0.389 eV/atom
# - Magnetic moment: 0.00 μB/atom
# - Relative energy among the computed polymorphs: 155 kJ/mol of formula units


[5]
# PaPd | Alexandria via LeMat-Bulk | GGA-PBE | optimized geometry
data_PaPd
_chemical_formula_sum 'Pa2 Pd2'
_space_group_name_H-M_alt 'P 1'
_space_group_IT_number 1
_cell_length_a 3.513
_cell_length_b 3.664
_cell_length_c 7.029
_cell_angle_alpha 64.73
_cell_angle_beta 90.00
_cell_angle_gamma 90.00
loop_
_space_group_symop_operation_xyz
'x,y,z'
loop_
_atom_site_label
_atom_site_fract_x
_atom_site_fract_y
_atom_site_fract_z
_atom_site_occupancy
Pa1 0.250 0.931 0.858 1
Pa2 0.750 0.069 0.142 1
Pd1 0.250 0.343 0.378 1
Pd2 0.750 0.657 0.622 1
# - Density: 13.70 g/cm³
# - Space group: P2_1/m, No. 11
# - Formation enthalpy at 0 K: -0.453 eV/atom
# - Magnetic moment: 0.00 μB/atom


[6]
# YRe2Pb | Alexandria via LeMat-Bulk | GGA-PBE | optimized geometry
data_YRe2Pb
_chemical_formula_sum 'Y1 Re2 Pb1'
_space_group_name_H-M_alt 'P 1'
_space_group_IT_number 1
_cell_length_a 5.810
_cell_length_b 5.810
_cell_length_c 5.810
_cell_angle_alpha 143.19
_cell_angle_beta 130.04
_cell_angle_gamma 63.65
loop_
_space_group_symop_operation_xyz
'x,y,z'
loop_
_atom_site_label
_atom_site_fract_x
_atom_site_fract_y
_atom_site_fract_z
_atom_site_occupancy
Pb1 0.226 0.726 0.500 1
Re1 0.962 0.962 0.000 1
Re2 0.805 0.305 0.500 1
Y1 0.507 0.507 0.000 1
# - Density: 12.49 g/cm³
# - Space group: Imm2, No. 44
# - Formation enthalpy at 0 K: 0.452 eV/atom
# - Magnetic moment: 0.00 μB/atom


[7]
# Sr2Pb3 | Alexandria via LeMat-Bulk | GGA-PBE | optimized geometry
data_Sr2Pb3
_chemical_formula_sum 'Sr2 Pb3'
_space_group_name_H-M_alt 'P 1'
_space_group_IT_number 1
_cell_length_a 5.571
_cell_length_b 5.571
_cell_length_c 7.014
_cell_angle_alpha 90.00
_cell_angle_beta 90.00
_cell_angle_gamma 120.00
loop_
_space_group_symop_operation_xyz
'x,y,z'
loop_
_atom_site_label
_atom_site_fract_x
_atom_site_fract_y
_atom_site_fract_z
_atom_site_occupancy
Sr1 0.333 0.667 0.170 1
Sr2 0.667 0.333 0.830 1
Pb1 0.000 0.000 0.000 1
Pb2 0.333 0.667 0.643 1
Pb3 0.667 0.333 0.357 1
# - Density: 7.02 g/cm³
# - Space group: P-3m1, No. 164
# - Formation enthalpy at 0 K: -0.238 eV/atom
# - Magnetic moment: 0.00 μB/atom
# - Relative energy among the computed polymorphs: 104 kJ/mol of formula units


[8]
# Y2TmAu | Alexandria via LeMat-Bulk | GGA-PBE | optimized geometry
data_Y2TmAu
_chemical_formula_sum 'Y2 Tm1 Au1'
_space_group_name_H-M_alt 'P 1'
_space_group_IT_number 1
_cell_length_a 3.728
_cell_length_b 3.728
_cell_length_c 10.007
_cell_angle_alpha 79.26
_cell_angle_beta 79.26
_cell_angle_gamma 60.00
loop_
_space_group_symop_operation_xyz
'x,y,z'
loop_
_atom_site_label
_atom_site_fract_x
_atom_site_fract_y
_atom_site_fract_z
_atom_site_occupancy
Y1 0.070 0.070 0.789 1
Y2 0.263 0.263 0.211 1
Tm1 0.501 0.501 0.498 1
Au1 0.666 0.666 0.002 1
# - Density: 7.68 g/cm³
# - Space group: R3m, No. 160
# - Formation enthalpy at 0 K: -0.283 eV/atom
# - Magnetic moment: 0.15 μB/atom
# - Relative energy among the computed polymorphs: 69 kJ/mol of formula units